CaSmB12 | SCAN | single point on PBEsol structure

Structure (CIF):
```
data_CaSmB12
_chemical_formula_sum 'Ca1 Sm1 B12'
_cell_length_a 4.107
_cell_length_b 4.107
_cell_length_c 8.230
_cell_angle_alpha 90.00
_cell_angle_beta 90.00
_cell_angle_gamma 90.00
_space_group_name_H-M_alt 'P 4/m m m'
_space_group_IT_number 123
_space_group_name_Hall '-P 4 2'
loop_
_atom_site_label
_atom_site_fract_x
_atom_site_fract_y
_atom_site_fract_z
_atom_site_occupancy
Ca1 0.000 0.000 0.000 1
Sm1 0.000 0.000 0.500 1
B1 0.200 0.500 0.251 1
B2 0.500 0.500 0.101 1
B3 0.500 0.500 0.400 1
```

The calculation puts the electronic total energy at -0.3948 Ha/atom. The calculation puts the density at 3.83 g/cm3. Its formation energy is -0.51 eV/atom. Its magnetic moment is 0.00 μB per formula unit.